DFT (PBE) results for a geometry-optimized BeTcAsBr2 structure.

```
BeTcAsBr2
1.0
-4.605 -0.311 2.413
1.626 -4.236 2.556
1.657 2.760 3.520
Be As Tc Br
1 1 1 2
Cartesian
-0.661 -0.894 4.244
0.829 1.380 1.760
0.000 0.000 0.000
0.813 -2.118 1.278
-2.302 -0.156 1.206
```

Calculated values
Space-group type: P4/mmm (123)
Offset from the most stable computed form (eV per atom): 0.0107